A plane-wave DFT calculation with PBE was carried out for an optimized crystal structure of RbHfAu2.

a = 3.503 Å, b = 3.503 Å, c = 8.408 Å
α = 90.00°, β = 90.00°, γ = 90.00°
Element x y z (fractional)
Hf 0.500 0.500 0.000
Au 0.000 0.000 0.826
Au 0.000 0.000 0.174
Rb 0.500 0.500 0.500

Calculated values
Energy above the lowest structure with this stoichiometry (meV per atom): 0.0
Density of states at the Fermi level (states/eV per atom): 0.66
Formation energy from the elements (eV/atom): -0.260